(1)
The following is a DFT calculation (PBE) of a relaxed structure of LiHo4Pt3.

## Properties
DOS(E_F) in states/eV per atom: 0.446
ΔE_f in kJ/mol of formula units: -774

Lattice parameters (Å, degrees): 7.0187 7.0296 13.9024 90.00 90.00 90.00
With the nearest neighbours (Å) after each atom.
Space group Fmmm (No. 69)
Asymmetric unit:
Li (0.0000, 0.0000, 0.0000) (multiplicity 4)  8 Ho 3.05, 2 Pt 3.19
Ho (0.2500, 0.2500, 0.1272) (multiplicity 16)  6 Pt 2.86-3.19, 2 Li 3.05
Pt (0.0000, 0.0000, 0.2293) (multiplicity 8)  8 Ho 2.86-3.19, 1 Li 3.19
Pt (0.0000, 0.0000, 0.5000) (multiplicity 4)  8 Ho 3.05

(2)
The following is a DFT calculation (PBE) of a relaxed structure of TbTmZnRu.

## Properties
Energy above the most stable polymorph in this dataset in eV/atom: 0.043
DOS(E_F) in states/eV per atom: 0.752
ΔE_f in kJ/mol of formula units: -145

Lattice parameters (Å, degrees): 6.9176 6.9176 6.9176 90.00 90.00 90.00
With the nearest neighbours (Å) after each atom.
Space group F-43m (No. 216)
Asymmetric unit:
Tb (0.0000, 0.0000, 0.0000) (multiplicity 4)  4 Zn 3.00, 4 Ru 3.00
Tm (0.0000, 0.0000, 0.5000) (multiplicity 4)  4 Ru 3.00, 4 Zn 3.00
Zn (0.2500, 0.2500, 0.7500) (multiplicity 4)  4 Tm 3.00, 4 Tb 3.00
Ru (0.2500, 0.2500, 0.2500) (multiplicity 4)  4 Tb 3.00, 4 Tm 3.00

(3)
The following is a DFT calculation (PBE) of a relaxed structure of Sr3Cd2Si3.

## Properties
E_form (uncorrected) in eV per atom: -0.353
DOS(E_F) in states/eV per atom: 0.121

Lattice parameters (Å, degrees): 4.7751 11.2362 15.4752 90.00 90.00 90.00
With the nearest neighbours (Å) after each atom.
Space group Cmcm (No. 63)
Asymmetric unit:
Sr (0.0000, 0.0923, 0.1119) (multiplicity 8)  7 Si 3.29-3.67, 4 Cd 3.30-3.39
Sr (0.0000, 0.3758, 0.2500) (multiplicity 4)  5 Si 3.27-3.38, 4 Cd 3.56
Cd (0.0000, 0.2071, 0.5907) (multiplicity 8)  4 Si 2.79-2.91
Si (0.0000, 0.3231, 0.7500) (multiplicity 4)  2 Cd 2.79
Si (0.0000, 0.4012, 0.0341) (multiplicity 8)  1 Si 2.46

(4)
The following is a DFT calculation (PBE) of a relaxed structure of YSiN2.

## Properties
E_form (uncorrected) in eV per atom: 0.250
DOS(E_F) in states/eV per atom: 0.637

Lattice parameters (Å, degrees): 5.7739 5.7739 5.7739 90.00 90.00 90.00
With the nearest neighbours (Å) after each atom.
Space group Fm-3m (No. 225)
Asymmetric unit:
Y (0.0000, 0.0000, 0.0000) (multiplicity 4)  8 N 2.50
Si (0.0000, 0.0000, 0.5000) (multiplicity 4)  8 N 2.50
N (0.2500, 0.2500, 0.2500) (multiplicity 8)  4 Si 2.50, 4 Y 2.50